# MoHNO2 PBE+U relaxed
# calculated volume	12.133	A^3/atom
# electronic total energy	-5.66	eV/atom
data_MoHNO2
_chemical_formula_sum 'Mo1 H1 N1 O2'
_space_group_name_H-M_alt 'P 1'
_space_group_IT_number 1
_cell_length_a 3.860
_cell_length_b 3.860
_cell_length_c 4.072
_cell_angle_alpha 90.00
_cell_angle_beta 90.00
_cell_angle_gamma 90.00
loop_
_space_group_symop_operation_xyz
'x,y,z'
loop_
_atom_site_label
_atom_site_type_symbol
_atom_site_fract_x
_atom_site_fract_y
_atom_site_fract_z
_atom_site_occupancy
H1 H 0.500 0.500 0.500 1
Mo1 Mo 0.000 0.000 0.000 1
O1 O 0.000 0.500 0.000 1
O2 O 0.500 0.000 0.000 1
N1 N 0.000 0.000 0.500 1